<A>
4
Lattice="3.833 0.000 0.000 1.917 3.320 0.000 1.917 1.107 11.333" Properties=species:S:1:pos:R:3 comment="AcPr2Cd (GGA-PBE, optimized geometry)" magnetic_moment_mub_per_fu=0.000 crystal_system=trigonal vol_a3_per_atom=36.06 pbc="T T T"
Ac 3.833 2.213 5.670
Pr 1.917 1.107 2.492
Pr 1.917 1.107 8.834
Cd 3.833 2.213 0.003

=====

<B>
4
Lattice="3.887 0.000 0.000 0.000 3.887 0.000 0.000 0.000 9.103" Properties=species:S:1:pos:R:3 comment="AcPr2Cd (GGA-PBE, optimized geometry)" magnetic_moment_mub_per_fu=0.000 crystal_system=tetragonal vol_a3_per_atom=34.38 pbc="T T T"
Pr 0.000 0.000 1.942
Pr 0.000 0.000 7.161
Cd 1.943 1.943 0.000
Ac 1.943 1.943 4.551

=====

Which of them is least stable? Easy: <A>.

=====

<A>
9
Lattice="-1.574 -2.447 2.640 0.567 -6.366 -2.640 10.355 -4.497 4.927" Properties=species:S:1:pos:R:3 comment="AcPr6Cd2 (GGA-PBE, optimized geometry)" magnetic_moment_mub_per_fu=0.000 crystal_system=monoclinic vol_a3_per_atom=34.34 pbc="T T T"
Pr 8.843 -7.873 3.820
Pr 7.003 -4.946 2.514
Pr 3.358 -4.900 3.305
Pr 2.346 -8.365 2.414
Pr 0.506 -5.437 1.107
Pr 5.991 -8.410 1.622
Ac 0.000 0.000 0.000
Cd 7.578 -10.911 3.172
Cd 1.771 -2.399 1.755

=====

<B>
18
Lattice="6.283 -0.214 -0.207 1.408 9.924 1.307 1.408 1.628 9.876" Properties=species:S:1:pos:R:3 comment="AcPr6Cd2 (GGA-PBE, optimized geometry)" magnetic_moment_mub_per_fu=0.000 crystal_system=monoclinic vol_a3_per_atom=33.75 pbc="T T T"
Pr 7.793 5.304 7.031
Pr 2.970 10.035 3.929
Pr 4.267 9.844 7.477
Pr 1.306 6.035 3.946
Pr 1.690 3.653 1.484
Pr 4.651 7.306 5.177
Pr 4.832 1.495 3.500
Pr 2.987 7.194 1.178
Pr 6.111 4.145 9.799
Pr 4.447 4.033 5.800
Pr 7.408 7.685 9.493
Pr 6.129 1.304 7.048
Cd 4.393 6.519 8.437
Cd 1.564 2.802 4.838
Cd 7.535 8.537 6.139
Cd 4.705 4.819 2.540
Ac 2.979 2.500 8.870
Ac 6.120 8.839 2.108

=====

Which of them is least stable? Easy: <B>.

=====

<A>
4
Lattice="5.915 0.000 0.000 2.957 5.122 0.000 2.957 1.707 4.829" Properties=species:S:1:pos:R:3 comment="Ac2PrCd (GGA-PBE, optimized geometry)" magnetic_moment_mub_per_fu=0.002 crystal_system=cubic vol_a3_per_atom=36.58 pbc="T T T"
Ac 8.872 5.122 3.622
Ac 2.957 1.707 1.207
Cd 5.915 3.415 2.415
Pr 0.000 0.000 0.000

=====

<B>
4
Lattice="-2.033 1.663 2.912 -3.911 -0.283 0.072 -1.159 -9.324 7.155" Properties=species:S:1:pos:R:3 comment="Ac2PrCd (GGA-PBE, optimized geometry)" magnetic_moment_mub_per_fu=0.000 crystal_system=trigonal vol_a3_per_atom=38.60 pbc="T T T"
Pr -3.551 -3.986 5.078
Ac -1.349 -7.063 5.731
Ac -1.792 -1.794 2.414
Cd -5.123 -8.398 9.140

=====

Which of them is least stable? Easy: <A>.

=====

<A>
4
Lattice="-3.346 1.453 1.127 -2.744 -2.313 1.303 2.626 1.022 12.942" Properties=species:S:1:pos:R:3 comment="Ac2PrCd (GGA-PBE, optimized geometry)" magnetic_moment_mub_per_fu=0.000 crystal_system=trigonal vol_a3_per_atom=41.21 pbc="T T T"
Ac 1.391 0.675 9.723
Ac -4.854 -0.513 5.648
Pr -1.732 0.081 7.686
Cd 0.000 0.000 0.000

=====

<B>
4
Lattice="5.006 0.000 0.000 0.000 5.381 0.000 0.000 0.000 5.381" Properties=species:S:1:pos:R:3 comment="Ac2PrCd (GGA-PBE, optimized geometry)" magnetic_moment_mub_per_fu=0.000 crystal_system=tetragonal vol_a3_per_atom=36.24 pbc="T T T"
Pr 2.503 2.691 2.691
Ac 0.000 0.000 2.691
Ac 0.000 2.691 0.000
Cd 2.503 0.000 0.000

=====

<C>
4
Lattice="3.985 0.000 0.000 0.000 3.985 0.000 0.000 0.000 9.469" Properties=species:S:1:pos:R:3 comment="Ac2PrCd (GGA-PBE, optimized geometry)" magnetic_moment_mub_per_fu=0.000 crystal_system=tetragonal vol_a3_per_atom=37.59 pbc="T T T"
Ac 0.000 0.000 7.357
Ac 0.000 0.000 2.112
Cd 1.992 1.992 0.000
Pr 1.992 1.992 4.734

=====

Which of them is least stable? Easy: <A>.